(1)
Below is crystalline TcNiPdPb at its relaxed geometry, with properties calculated at the PBE level.

Lattice parameters (Å, degrees): 4.512 4.512 4.512 60.00 60.00 60.00
Positions (direct):
Tc 0.000 0.000 0.000
Ni 0.500 0.500 0.500
Pd 0.750 0.750 0.750
Pb 0.250 0.250 0.250

Properties
crystal system: cubic
space group: F-43m (216)
uncorrected energy: -5.85 eV per atom
polymorph energy (0 for the lowest one): 0 meV/atom
V: 65 Å³ per cell


(2)
Below is crystalline ScCdGe at its relaxed geometry, with properties calculated at the PBE level.

Lattice parameters (Å, degrees): 4.638 4.638 4.638 60.00 60.00 60.00
Positions (direct):
Sc 0.000 0.000 0.000
Cd 0.750 0.750 0.750
Ge 0.250 0.250 0.250

Properties
crystal system: cubic
space group: F-43m (216)
uncorrected energy: -4.05 eV per atom
V: 71 Å³ per cell


(3)
Below is crystalline Pa3TcN6 at its relaxed geometry, with properties calculated at the PBE level.

Lattice parameters (Å, degrees): 7.288 7.288 5.457 90.00 90.00 102.51
Positions (direct):
Pa 0.105 0.895 0.500
Pa 0.194 0.412 0.538
Pa 0.412 0.194 0.038
Pa 0.588 0.806 0.538
Pa 0.806 0.588 0.038
Pa 0.895 0.105 0.000
Tc 0.302 0.698 0.089
Tc 0.698 0.302 0.589
N 0.072 0.605 0.287
N 0.143 0.171 0.268
N 0.171 0.143 0.768
N 0.287 0.713 0.746
N 0.395 0.928 0.287
N 0.451 0.549 0.298
N 0.549 0.451 0.798
N 0.605 0.072 0.787
N 0.713 0.287 0.246
N 0.829 0.857 0.268
N 0.857 0.829 0.768
N 0.928 0.395 0.787

Properties
crystal system: orthorhombic
space group: Cmc2_1 (36)
uncorrected energy: -10.13 eV per atom
V: 283 Å³ per cell


Question: Number 2 is which compound?
Answer: ScCdGe


Question: Which value of V does entry 2 give?
Answer: 71 Å³ per cell


Question: uncorrected energy of number 1 (TcNiPdPb)?
Answer: -5.85 eV per atom


Please write out number 2 again, unchanged.
Below is crystalline ScCdGe at its relaxed geometry, with properties calculated at the PBE level.

Lattice parameters (Å, degrees): 4.638 4.638 4.638 60.00 60.00 60.00
Positions (direct):
Sc 0.000 0.000 0.000
Cd 0.750 0.750 0.750
Ge 0.250 0.250 0.250

Properties
crystal system: cubic
space group: F-43m (216)
uncorrected energy: -4.05 eV per atom
V: 71 Å³ per cell